Entry 1:
The following is a DFT calculation (PBE-GGA) of KTl2Ni after structural relaxation.

Values from the calculation:
Electronic total energy = -2.3978 eV per atom
Energy relative to the elements = 505 meV per atom
Calculated volume = 106.96 Å³/cell

Geometry as extended XYZ:
```
4
Lattice="-5.3922 3.0239 -0.7036 1.4457 -4.3531 -4.3221 -1.9902 -2.3944 0.8699" Properties=species:S:1:pos:R:3 pbc="T T T"
Tl -3.6912 0.3148 0.0832
Ni -1.9733 -0.6646 -2.5128
Tl 0.0000 0.0000 0.0000
K -0.2723 -3.3737 -1.7261
```


Entry 2:
The following is a DFT calculation (PBE-GGA) of KTl2Ni after structural relaxation.

Values from the calculation:
Electronic total energy = -2.3910 eV per atom
Energy relative to the elements = 512 meV per atom
Calculated volume = 106.26 Å³/cell

Geometry as extended XYZ:
```
4
Lattice="6.0329 -0.0916 0.0000 -2.4970 5.4927 0.0000 0.0000 0.0000 3.2289" Properties=species:S:1:pos:R:3 pbc="T T T"
Tl 0.0000 0.0000 0.0000
Ni -1.2485 2.7463 1.6144
K 3.0165 -0.0458 1.6144
Tl 1.7679 2.7005 0.0000
```


Entry 3:
The following is a DFT calculation (PBE-GGA) of KTlNi2 after structural relaxation.

Values from the calculation:
Electronic total energy = -3.2245 eV per atom
Energy relative to the elements = 532 meV per atom
Excess energy over the best structure of this formula in the dataset = 1.25 eV/f.u.
Calculated volume = 81.61 Å³/cell

Geometry as extended XYZ:
```
4
Lattice="-0.4598 5.7179 -2.1327 -0.7422 1.1137 -5.9719 -1.8550 -2.2943 5.3619" Properties=species:S:1:pos:R:3 pbc="T T T"
K -1.4666 3.4689 -0.4700
Tl -0.5509 3.1311 -3.7146
Ni -1.5756 0.9842 -2.1730
Ni -0.0649 0.3688 -0.4375
```


Entry 4:
The following is a DFT calculation (PBE-GGA) of KTlNi2 after structural relaxation.

Values from the calculation:
Electronic total energy = -3.0298 eV per atom
Energy relative to the elements = 727 meV per atom
Excess energy over the best structure of this formula in the dataset = 2.03 eV/f.u.
Calculated volume = 76.11 Å³/cell

Geometry as extended XYZ:
```
4
Lattice="3.0487 0.0000 0.0000 0.0000 4.9964 0.0000 0.0000 0.0000 4.9964" Properties=species:S:1:pos:R:3 pbc="T T T"
Tl 1.5243 2.4982 0.0000
Ni 0.0000 0.0000 0.0000
Ni 0.0000 2.4982 2.4982
K 1.5243 0.0000 2.4982
```


Entry 5:
The following is a DFT calculation (PBE-GGA) of KTlNi2 after structural relaxation.

Values from the calculation:
Electronic total energy = -2.9622 eV per atom
Energy relative to the elements = 794 meV per atom
Excess energy over the best structure of this formula in the dataset = 2.30 eV/f.u.
Calculated volume = 186.85 Å³/cell

Geometry as extended XYZ:
```
8
Lattice="7.7302 0.0000 0.0000 0.0000 7.7302 0.0000 3.8651 3.8651 3.1269" Properties=species:S:1:pos:R:3 pbc="T T T"
Ni 9.6627 10.1007 2.3452
K 3.8651 3.8651 0.0000
K 3.8651 7.7302 1.5634
Ni 1.4945 5.7976 0.7817
Ni 6.2357 1.9325 0.7817
Tl 7.7302 3.8651 1.5634
Tl 0.0000 0.0000 0.0000
Ni 5.7976 5.3596 2.3452
```


Entry 6:
The following is a DFT calculation (PBE-GGA) of KTl3Ni after structural relaxation.

Values from the calculation:
Electronic total energy = -1.5171 eV per atom
Energy relative to the elements = 1278 meV per atom
Excess energy over the best structure of this formula in the dataset = 6.30 eV/f.u.
Calculated volume = 226.61 Å³/cell

Geometry as extended XYZ:
```
5
Lattice="6.0967 0.0000 0.0000 0.0000 6.0967 0.0000 0.0000 0.0000 6.0967" Properties=species:S:1:pos:R:3 pbc="T T T"
Tl 0.0000 0.0000 3.0483
Ni 3.0483 3.0483 3.0483
Tl 3.0483 0.0000 0.0000
K 0.0000 0.0000 0.0000
Tl 0.0000 3.0483 0.0000
```


Entry 7:
The following is a DFT calculation (PBE-GGA) of KTl2Ni after structural relaxation.

Values from the calculation:
Electronic total energy = -2.5413 eV per atom
Energy relative to the elements = 362 meV per atom
Calculated volume = 100.76 Å³/cell

Geometry as extended XYZ:
```
4
Lattice="-2.0120 -4.2148 -2.3384 -3.6157 -2.8675 2.4463 -4.9475 0.0539 -1.6734" Properties=species:S:1:pos:R:3 pbc="T T T"
K 0.0000 0.0000 0.0000
Tl -2.6438 -1.7571 -0.3914
Ni -5.2876 -3.5142 -0.7827
Tl -7.9314 -5.2713 -1.1741
```


Entry 8:
The following is a DFT calculation (PBE-GGA) of KTl2Ni after structural relaxation.

Values from the calculation:
Electronic total energy = -2.7752 eV per atom
Energy relative to the elements = 128 meV per atom
Calculated volume = 120.00 Å³/cell

Geometry as extended XYZ:
```
4
Lattice="7.8181 -0.2378 -0.1433 6.7502 3.9514 -0.1433 6.7502 1.7207 3.5599" Properties=species:S:1:pos:R:3 pbc="T T T"
Tl 0.7128 0.1817 0.1095
K 5.3296 1.3585 0.8184
Tl 9.9464 2.5354 1.5272
Ni 15.9889 4.0756 2.4551
```


Entry 9:
The following is a DFT calculation (PBE-GGA) of K2TlNiW after structural relaxation.

Values from the calculation:
Electronic total energy = -3.4517 eV per atom
Energy relative to the elements = 1207 meV per atom
Calculated volume = 172.74 Å³/cell

Geometry as extended XYZ:
```
5
Lattice="-5.4953 0.9402 2.5551 0.1665 -4.1797 1.8962 2.7135 2.3615 4.9670" Properties=species:S:1:pos:R:3 pbc="T T T"
Tl -1.3076 -0.4390 4.7092
K -2.7477 0.4701 1.2776
K 1.3568 1.1807 2.4835
W 0.0833 -2.0899 0.9481
Ni 0.0000 0.0000 0.0000
```


Entry 10:
The following is a DFT calculation (PBE-GGA) of KY2TlNi after structural relaxation.

Values from the calculation:
Electronic total energy = -3.4920 eV per atom
Energy relative to the elements = 943 meV per atom
Calculated volume = 202.53 Å³/cell

Geometry as extended XYZ:
```
5
Lattice="5.7721 0.0000 0.0000 0.0000 6.0788 0.0000 0.0000 0.0000 5.7721" Properties=species:S:1:pos:R:3 pbc="T T T"
Tl 0.0000 0.0000 0.0000
K 0.0000 3.0394 0.0000
Y 2.8861 0.0000 0.0000
Ni 2.8861 3.0394 2.8861
Y 0.0000 0.0000 2.8861
```


Entry 11:
The following is a DFT calculation (PBE-GGA) of KTl2ZnNi after structural relaxation.

Values from the calculation:
Electronic total energy = -2.5488 eV per atom
Energy relative to the elements = 28 meV per atom
Calculated volume = 131.36 Å³/cell

Geometry as extended XYZ:
```
5
Lattice="5.1666 0.0000 0.0000 0.0000 5.1666 0.0000 0.0000 0.0000 4.9209" Properties=species:S:1:pos:R:3 pbc="T T T"
Ni 0.0000 0.0000 0.0000
Tl 2.5833 0.0000 0.0000
K 2.5833 2.5833 2.4605
Zn 0.0000 0.0000 2.4605
Tl 0.0000 2.5833 0.0000
```


Entry 12:
The following is a DFT calculation (PBE-GGA) of KV2Ni after structural relaxation.

Values from the calculation:
Electronic total energy = -4.8377 eV per atom
Energy relative to the elements = 1441 meV per atom
Excess energy over the best structure of this formula in the dataset = 0.31 eV/f.u.
Calculated volume = 61.85 Å³/cell

Geometry as extended XYZ:
```
4
Lattice="-2.7088 3.2160 1.4229 -1.1228 3.3220 -2.7217 -4.1402 0.2741 -1.5773" Properties=species:S:1:pos:R:3 pbc="T T T"
V -5.9788 5.1091 -2.1571
V -1.9929 1.7030 -0.7190
K 0.0000 0.0000 0.0000
Ni -3.9859 3.4061 -1.4381
```


Entry 13:
The following is a DFT calculation (PBE-GGA) of K2VNi after structural relaxation.

Values from the calculation:
Electronic total energy = -2.8954 eV per atom
Energy relative to the elements = 1378 meV per atom
Excess energy over the best structure of this formula in the dataset = 1.79 eV/f.u.
Calculated volume = 122.88 Å³/cell

Geometry as extended XYZ:
```
4
Lattice="0.0000 3.9459 3.9459 3.9459 0.0000 3.9459 3.9459 3.9459 0.0000" Properties=species:S:1:pos:R:3 pbc="T T T"
Ni 3.9459 3.9459 3.9459
V 0.0000 0.0000 0.0000
K 5.9188 5.9188 5.9188
K 1.9729 1.9729 1.9729
```


Entry 14:
The following is a DFT calculation (PBE-GGA) of K2VNi after structural relaxation.

Values from the calculation:
Electronic total energy = -3.3421 eV per atom
Energy relative to the elements = 932 meV per atom
Excess energy over the best structure of this formula in the dataset = 0.00 eV/f.u.
Calculated volume = 343.27 Å³/cell

Geometry as extended XYZ:
```
8
Lattice="-7.9882 -9.2202 -1.4506 -0.3877 -1.5800 12.1771 -5.9144 -3.9258 5.4995" Properties=species:S:1:pos:R:3 pbc="T T T"
V -4.1879 -5.4001 5.3632
K -11.4449 -11.0914 3.4674
Ni -9.0452 -9.2730 4.7061
K -7.9197 -8.5575 1.7361
K -7.5088 -6.7175 6.0129
Ni 0.0000 0.0000 0.0000
K -9.3076 -10.7257 7.6078
V -5.2450 -5.4529 11.5199
```